! Zr6CCl14 | the Alexandria database | GGA-PBEsol | optimized geometry; values from VASP
! Calculated volume ... 24.04 Å³/atom
! Raw total energy ... -6.22 eV/atom
&SYSTEM
  ibrav = 0, nat = 42, ntyp = 3
/
ATOMIC_SPECIES
Zr 91.22 Zr.upf
C 12.01 C.upf
Cl 35.45 Cl.upf
CELL_PARAMETERS angstrom
7.019 -6.299 0.000
7.019 6.299 0.000
0.000 0.000 11.417
ATOMIC_POSITIONS crystal
Zr 0.046 0.186 0.883
Zr 0.147 0.853 0.893
Zr 0.186 0.046 0.117
Zr 0.314 0.454 0.617
Zr 0.353 0.647 0.393
Zr 0.454 0.314 0.383
Zr 0.546 0.686 0.617
Zr 0.647 0.353 0.607
Zr 0.686 0.546 0.383
Zr 0.814 0.954 0.883
Zr 0.853 0.147 0.107
Zr 0.954 0.814 0.117
C 0.000 0.000 0.000
C 0.500 0.500 0.500
Cl 0.036 0.212 0.250
Cl 0.099 0.401 0.750
Cl 0.118 0.632 0.009
Cl 0.132 0.618 0.509
Cl 0.158 0.842 0.263
Cl 0.212 0.036 0.750
Cl 0.249 0.249 0.500
Cl 0.251 0.251 0.000
Cl 0.288 0.464 0.250
Cl 0.342 0.658 0.763
Cl 0.368 0.882 0.009
Cl 0.382 0.868 0.509
Cl 0.401 0.099 0.250
Cl 0.464 0.288 0.750
Cl 0.536 0.712 0.250
Cl 0.599 0.901 0.750
Cl 0.618 0.132 0.491
Cl 0.632 0.118 0.991
Cl 0.658 0.342 0.237
Cl 0.712 0.536 0.750
Cl 0.749 0.749 0.000
Cl 0.751 0.751 0.500
Cl 0.788 0.964 0.250
Cl 0.842 0.158 0.737
Cl 0.868 0.382 0.491
Cl 0.882 0.368 0.991
Cl 0.901 0.599 0.250
Cl 0.964 0.788 0.750



! Co5C3 | the Alexandria database | GGA-PBEsol | optimized geometry; values from VASP
! Calculated volume ... 8.01 Å³/atom
! Raw total energy ... -7.90 eV/atom
! Calculated formation energy ... 0.5513 eV/atom
! Offset from the most stable computed form ... 0.0025 eV per atom
! Density of states at the Fermi level ... 6.4 states/eV/f.u.
&SYSTEM
  ibrav = 0, nat = 8, ntyp = 2
/
ATOMIC_SPECIES
Co 58.93 Co.upf
C 12.01 C.upf
CELL_PARAMETERS angstrom
2.431 0.000 0.000
0.000 2.431 0.000
0.000 0.000 10.851
ATOMIC_POSITIONS crystal
Co 0.000 0.000 0.000
Co 0.000 0.000 0.215
Co 0.000 0.000 0.785
Co 0.500 0.500 0.396
Co 0.500 0.500 0.604
C 0.000 0.000 0.500
C 0.500 0.500 0.129
C 0.500 0.500 0.871



! CoC | the Alexandria database | GGA-PBEsol | optimized geometry; values from VASP
! Calculated volume ... 7.44 Å³/atom
! Raw total energy ... -7.61 eV/atom
! Calculated formation energy ... 1.0837 eV/atom
! Density of states at the Fermi level ... 0.9 states/eV/f.u.
&SYSTEM
  ibrav = 0, nat = 2, ntyp = 2
/
ATOMIC_SPECIES
Co 58.93 Co.upf
C 12.01 C.upf
CELL_PARAMETERS angstrom
2.459 0.000 0.000
0.000 2.459 0.000
0.000 0.000 2.459
ATOMIC_POSITIONS crystal
Co 0.000 0.000 0.000
C 0.500 0.500 0.500



! Co2C | the Alexandria database | GGA-PBEsol | optimized geometry; values from VASP
! Calculated volume ... 8.29 Å³/atom
! Raw total energy ... -8.14 eV/atom
! Calculated formation energy ... 0.2284 eV/atom
! Offset from the most stable computed form ... 0.0034 eV per atom
! Density of states at the Fermi level ... 2.2 states/eV/f.u.
&SYSTEM
  ibrav = 0, nat = 9, ntyp = 2
/
ATOMIC_SPECIES
Co 58.93 Co.upf
C 12.01 C.upf
CELL_PARAMETERS angstrom
5.117 0.000 0.000
-2.558 4.431 0.000
0.000 0.000 3.289
ATOMIC_POSITIONS crystal
Co 0.000 0.276 0.000
Co 0.000 0.615 0.500
Co 0.276 0.000 0.000
Co 0.385 0.385 0.500
Co 0.615 0.000 0.500
Co 0.724 0.724 0.000
C 0.000 0.000 0.500
C 0.333 0.667 0.000
C 0.667 0.333 0.000



! Co3C | the Alexandria database | GGA-PBEsol | optimized geometry; values from VASP
! Calculated volume ... 8.82 Å³/atom
! Raw total energy ... -7.91 eV/atom
! Calculated formation energy ... 0.3007 eV/atom
! Density of states at the Fermi level ... 4.4 states/eV/f.u.
&SYSTEM
  ibrav = 0, nat = 4, ntyp = 2
/
ATOMIC_SPECIES
Co 58.93 Co.upf
C 12.01 C.upf
CELL_PARAMETERS angstrom
-1.235 1.945 3.673
1.235 -1.945 3.673
1.235 1.945 -3.673
ATOMIC_POSITIONS crystal
Co 0.000 0.000 0.000
Co 0.304 0.804 0.500
Co 0.696 0.196 0.500
C 0.500 0.500 0.000



! Co2C | the Alexandria database | GGA-PBEsol | optimized geometry; values from VASP
! Calculated volume ... 8.48 Å³/atom
! Raw total energy ... -7.80 eV/atom
! Calculated formation energy ... 0.5702 eV/atom
! Offset from the most stable computed form ... 0.3452 eV per atom
! Density of states at the Fermi level ... 3.4 states/eV/f.u.
&SYSTEM
  ibrav = 0, nat = 6, ntyp = 2
/
ATOMIC_SPECIES
Co 58.93 Co.upf
C 12.01 C.upf
CELL_PARAMETERS angstrom
-1.206 1.206 8.742
1.206 -1.206 8.742
1.206 1.206 -8.742
ATOMIC_POSITIONS crystal
Co 0.311 0.561 0.750
Co 0.439 0.689 0.750
Co 0.561 0.311 0.250
Co 0.689 0.439 0.250
C 0.125 0.875 0.250
C 0.875 0.125 0.750



! Co2C3 | the Alexandria database | GGA-PBEsol | optimized geometry; values from VASP
! Calculated volume ... 8.03 Å³/atom
! Raw total energy ... -8.06 eV/atom
! Calculated formation energy ... 0.8178 eV/atom
! Density of states at the Fermi level ... 2.3 states/eV/f.u.
&SYSTEM
  ibrav = 0, nat = 10, ntyp = 2
/
ATOMIC_SPECIES
Co 58.93 Co.upf
C 12.01 C.upf
CELL_PARAMETERS angstrom
0.000 5.033 1.749
4.561 0.000 1.749
4.561 5.033 0.000
ATOMIC_POSITIONS crystal
Co 0.139 0.861 0.365
Co 0.615 0.885 0.389
Co 0.861 0.139 0.635
Co 0.885 0.615 0.111
C 0.229 0.973 0.004
C 0.246 0.455 0.021
C 0.332 0.332 0.668
C 0.455 0.246 0.277
C 0.582 0.582 0.918
C 0.973 0.229 0.795



! Co5C | the Alexandria database | GGA-PBEsol | optimized geometry; values from VASP
! Calculated volume ... 9.74 Å³/atom
! Raw total energy ... -7.67 eV/atom
! Calculated formation energy ... 0.3832 eV/atom
! Density of states at the Fermi level ... 6.6 states/eV/f.u.
&SYSTEM
  ibrav = 0, nat = 6, ntyp = 2
/
ATOMIC_SPECIES
Co 58.93 Co.upf
C 12.01 C.upf
CELL_PARAMETERS angstrom
1.241 -6.015 0.000
1.241 6.015 0.000
0.000 0.000 3.914
ATOMIC_POSITIONS crystal
Co 0.000 0.000 0.000
Co 0.122 0.878 0.500
Co 0.328 0.672 0.000
Co 0.672 0.328 0.000
Co 0.878 0.122 0.500
C 0.500 0.500 0.500



! Co3C | the Alexandria database | GGA-PBEsol | optimized geometry; values from VASP
! Calculated volume ... 9.04 Å³/atom
! Raw total energy ... -7.34 eV/atom
! Calculated formation energy ... 0.8732 eV/atom
! Density of states at the Fermi level ... 4.0 states/eV/f.u.
&SYSTEM
  ibrav = 0, nat = 4, ntyp = 2
/
ATOMIC_SPECIES
Co 58.93 Co.upf
C 12.01 C.upf
CELL_PARAMETERS angstrom
0.000 2.624 2.624
2.624 0.000 2.624
2.624 2.624 0.000
ATOMIC_POSITIONS crystal
Co 0.000 0.000 0.000
Co 0.250 0.250 0.250
Co 0.750 0.750 0.750
C 0.500 0.500 0.500



! CoC | the Alexandria database | GGA-PBEsol | optimized geometry; values from VASP
! Calculated volume ... 8.75 Å³/atom
! Raw total energy ... -8.14 eV/atom
! Calculated formation energy ... 0.5514 eV/atom
! Density of states at the Fermi level ... 1.0 states/eV/f.u.
&SYSTEM
  ibrav = 0, nat = 4, ntyp = 2
/
ATOMIC_SPECIES
Co 58.93 Co.upf
C 12.01 C.upf
CELL_PARAMETERS angstrom
1.549 -3.029 0.000
1.549 3.029 0.000
0.000 0.000 3.729
ATOMIC_POSITIONS crystal
Co 0.205 0.795 0.750
Co 0.795 0.205 0.250
C 0.121 0.879 0.250
C 0.879 0.121 0.750



! Co5C3 | the Alexandria database | GGA-PBEsol | optimized geometry; values from VASP
! Calculated volume ... 8.31 Å³/atom
! Raw total energy ... -7.90 eV/atom
! Calculated formation energy ... 0.5489 eV/atom
! Offset from the most stable computed form ... 0.0000 eV per atom
! Density of states at the Fermi level ... 8.3 states/eV/f.u.
&SYSTEM
  ibrav = 0, nat = 8, ntyp = 2
/
ATOMIC_SPECIES
Co 58.93 Co.upf
C 12.01 C.upf
CELL_PARAMETERS angstrom
2.850 -3.934 0.000
2.850 3.934 0.000
0.000 0.000 2.965
ATOMIC_POSITIONS crystal
Co 0.000 0.000 0.000
Co 0.000 0.500 0.000
Co 0.302 0.302 0.500
Co 0.500 0.000 0.000
Co 0.698 0.698 0.500
C 0.161 0.839 0.500
C 0.500 0.500 0.000
C 0.839 0.161 0.500



! CoC2 | the Alexandria database | GGA-PBEsol | optimized geometry; values from VASP
! Calculated volume ... 7.71 Å³/atom
! Raw total energy ... -8.29 eV/atom
! Calculated formation energy ... 0.7180 eV/atom
! Offset from the most stable computed form ... 0.0000 eV per atom
! Density of states at the Fermi level ... 1.8 states/eV/f.u.
&SYSTEM
  ibrav = 0, nat = 3, ntyp = 2
/
ATOMIC_SPECIES
Co 58.93 Co.upf
C 12.01 C.upf
CELL_PARAMETERS angstrom
1.331 0.769 3.766
-1.331 0.769 3.766
0.000 -1.537 3.766
ATOMIC_POSITIONS crystal
Co 0.000 0.000 0.000
C 0.439 0.439 0.439
C 0.561 0.561 0.561